1.
The following is a PBE calculation of an optimized crystal structure of Pa4In, from the Alexandria database.

Energy relative to the elements ... 1.601 eV per atom
Energy above the most stable polymorph in this dataset ... 36.57 kcal/mol of atoms
Fermi-level density of states ... 16.64 states/eV/cell
Crystal system ... cubic

a = 5.568 Å, b = 5.568 Å, c = 5.568 Å
α = 90.00°, β = 90.00°, γ = 90.00°
Positions (direct):
1 Pa 0.000 0.000 0.000
2 Pa 0.500 0.000 0.500
3 Pa 0.000 0.500 0.500
4 Pa 0.500 0.500 0.000
5 In 0.500 0.500 0.500

=====

2.
The following is a PBE calculation of an optimized crystal structure of Ba3Sn8Au3, from the Alexandria database.

Energy relative to the elements ... -0.464 eV per atom
Energy above the most stable polymorph in this dataset ... 0.00 kcal/mol of atoms
Fermi-level density of states ... 4.93 states/eV/cell
Crystal system ... monoclinic

a = 4.764 Å, b = 9.616 Å, c = 10.825 Å
α = 61.99°, β = 77.29°, γ = 75.66°
Positions (direct):
1 Ba 0.280 0.747 0.692
2 Ba 0.720 0.253 0.308
3 Ba 0.000 0.000 0.000
4 Sn 0.124 0.179 0.573
5 Sn 0.876 0.821 0.427
6 Sn 0.827 0.444 0.902
7 Sn 0.173 0.556 0.098
8 Sn 0.532 0.643 0.293
9 Sn 0.468 0.357 0.707
10 Sn 0.381 0.982 0.257
11 Sn 0.619 0.018 0.743
12 Au 0.000 0.500 0.500
13 Au 0.660 0.712 0.968
14 Au 0.340 0.288 0.032

=====

3.
The following is a PBE calculation of an optimized crystal structure of Mg2UCu2S6, from the Alexandria database.

Formation energy (no corrections) ... -0.882 eV per atom
Fermi-level density of states ... 5.31 states/eV/cell
Crystal system ... trigonal

a = 6.262 Å, b = 6.262 Å, c = 6.100 Å
α = 90.00°, β = 90.00°, γ = 120.00°
Positions (direct):
1 Mg 0.333 0.667 0.499
2 Mg 0.667 0.333 0.501
3 U 0.000 0.000 0.000
4 Cu 0.333 0.667 0.997
5 Cu 0.667 0.333 0.003
6 S 0.337 0.338 0.754
7 S 0.000 0.663 0.754
8 S 0.662 0.000 0.754
9 S 0.663 0.662 0.246
10 S 0.000 0.337 0.246
11 S 0.338 0.000 0.246

=====

4.
The following is a PBE calculation of an optimized crystal structure of Ac8PdSe4S3, from the Alexandria database.

Formation energy (no corrections) ... -1.775 eV per atom
Fermi-level density of states ... 7.50 states/eV/cell
Crystal system ... trigonal

a = 8.796 Å, b = 8.879 Å, c = 8.797 Å
α = 119.70°, β = 120.00°, γ = 90.00°
Positions (direct):
1 Ac 0.247 0.738 0.991
2 Ac 0.247 0.738 0.493
3 Ac 0.255 0.265 0.510
4 Ac 0.745 0.738 0.991
5 Ac 0.255 0.262 0.009
6 Ac 0.745 0.735 0.490
7 Ac 0.753 0.262 0.507
8 Ac 0.753 0.262 0.009
9 Pd 0.000 0.500 0.000
10 Se 0.500 0.000 0.000
11 Se 0.500 0.000 0.500
12 Se 0.000 0.000 0.000
13 Se 0.000 0.000 0.500
14 S 0.500 0.500 0.000
15 S 0.500 0.500 0.500
16 S 0.000 0.500 0.500

=====

5.
The following is a PBE calculation of an optimized crystal structure of Nd3BiSe6, from the Alexandria database.

Formation energy (no corrections) ... -1.475 eV per atom
Energy above the most stable polymorph in this dataset ... 0.00 kcal/mol of atoms
Crystal system ... orthorhombic

a = 7.290 Å, b = 9.182 Å, c = 9.182 Å
α = 103.08°, β = 90.00°, γ = 90.00°
Positions (direct):
1 Nd 0.484 0.915 0.716
2 Nd 0.984 0.716 0.915
3 Nd 0.382 0.405 0.595
4 Nd 0.882 0.595 0.405
5 Nd 0.984 0.085 0.284
6 Nd 0.484 0.284 0.085
7 Bi 0.000 0.178 0.822
8 Bi 0.500 0.822 0.178
9 Se 0.180 0.697 0.632
10 Se 0.680 0.632 0.697
11 Se 0.204 0.437 0.905
12 Se 0.704 0.905 0.437
13 Se 0.243 0.007 0.993
14 Se 0.623 0.232 0.768
15 Se 0.123 0.768 0.232
16 Se 0.743 0.993 0.007
17 Se 0.204 0.095 0.563
18 Se 0.704 0.563 0.095
19 Se 0.180 0.368 0.303
20 Se 0.680 0.303 0.368

=====

6.
The following is a PBE calculation of an optimized crystal structure of Ac2Cu2Ir, from the Alexandria database.

Energy relative to the elements ... -0.341 eV per atom
Fermi-level density of states ... 8.38 states/eV/cell
Crystal system ... monoclinic

a = 4.275 Å, b = 6.030 Å, c = 10.664 Å
α = 84.63°, β = 78.44°, γ = 69.24°
Positions (direct):
1 Ac 0.703 0.229 0.366
2 Ac 0.911 0.296 0.883
3 Ac 0.297 0.771 0.634
4 Ac 0.089 0.704 0.117
5 Cu 0.034 0.346 0.585
6 Cu 0.616 0.880 0.889
7 Cu 0.966 0.654 0.415
8 Cu 0.384 0.120 0.111
9 Ir 0.572 0.167 0.690
10 Ir 0.428 0.833 0.310

=====

7.
The following is a PBE calculation of an optimized crystal structure of Tb3CdSn, from the Alexandria database.

Energy relative to the elements ... 0.150 eV per atom
Fermi-level density of states ... 3.93 states/eV/cell
Crystal system ... orthorhombic

a = 5.590 Å, b = 6.702 Å, c = 5.965 Å
α = 124.18°, β = 90.00°, γ = 90.00°
Positions (direct):
1 Tb 0.000 0.013 0.559
2 Tb 0.000 0.546 0.559
3 Tb 0.500 0.448 0.895
4 Cd 0.000 0.524 0.048
5 Sn 0.500 0.824 0.649

=====

8.
The following is a PBE calculation of an optimized crystal structure of La5NdDy2Er, from the Alexandria database.

Energy relative to the elements ... 0.285 eV per atom
Fermi-level density of states ... 29.81 states/eV/cell
Crystal system ... tetragonal

a = 9.551 Å, b = 9.551 Å, c = 9.790 Å
α = 119.20°, β = 119.20°, γ = 90.00°
Positions (direct):
1 La 0.933 0.433 0.269
2 La 0.664 0.164 0.731
3 La 0.067 0.567 0.731
4 La 0.164 0.067 0.731
5 La 0.567 0.664 0.731
6 La 0.836 0.933 0.269
7 La 0.433 0.336 0.269
8 La 0.336 0.836 0.269
9 La 0.500 0.500 0.000
10 La 0.000 0.000 0.000
11 Nd 0.250 0.250 0.500
12 Nd 0.750 0.750 0.500
13 Dy 0.108 0.392 0.000
14 Dy 0.608 0.108 0.000
15 Dy 0.392 0.892 0.000
16 Dy 0.892 0.608 0.000
17 Er 0.250 0.750 0.500
18 Er 0.750 0.250 0.500

=====

9.
The following is a PBE calculation of an optimized crystal structure of Pm2Pr6TmTh, from the Alexandria database.

Energy relative to the elements ... 0.142 eV per atom
Fermi-level density of states ... 28.93 states/eV/cell
Crystal system ... monoclinic

a = 9.999 Å, b = 8.929 Å, c = 8.929 Å
α = 116.75°, β = 94.94°, γ = 94.94°
Positions (direct):
1 Pm 0.453 0.804 0.714
2 Pm 0.047 0.286 0.196
3 Pm 0.547 0.196 0.286
4 Pm 0.953 0.714 0.804
5 Pr 0.055 0.111 0.750
6 Pr 0.445 0.250 0.889
7 Pr 0.945 0.889 0.250
8 Pr 0.555 0.750 0.111
9 Pr 0.310 0.990 0.423
10 Pr 0.190 0.577 0.010
11 Pr 0.690 0.010 0.577
12 Pr 0.810 0.423 0.990
13 Pr 0.119 0.700 0.494
14 Pr 0.381 0.506 0.300
15 Pr 0.881 0.300 0.506
16 Pr 0.619 0.494 0.700
17 Tm 0.250 0.407 0.593
18 Tm 0.750 0.593 0.407
19 Th 0.250 0.979 0.021
20 Th 0.750 0.021 0.979

=====

10.
The following is a PBE calculation of an optimized crystal structure of Al2HgTe4, from the Alexandria database.

Formation energy (no corrections) ... -0.383 eV per atom
Energy above the most stable polymorph in this dataset ... 0.00 kcal/mol of atoms
Crystal system ... tetragonal

a = 7.452 Å, b = 7.452 Å, c = 7.452 Å
α = 130.24°, β = 130.24°, γ = 73.03°
Positions (direct):
1 Al 0.500 0.500 0.000
2 Al 0.750 0.250 0.500
3 Hg 0.000 0.000 0.000
4 Te 0.587 0.605 0.469
5 Te 0.137 0.118 0.531
6 Te 0.882 0.413 0.019
7 Te 0.395 0.863 0.981

=====

11.
The following is a PBE calculation of an optimized crystal structure of CsAg2Te2, from the Alexandria database.

Formation energy (no corrections) ... -0.194 eV per atom
Energy above the most stable polymorph in this dataset ... 5.30 kcal/mol of atoms
Fermi-level density of states ... 3.34 states/eV/cell
Crystal system ... tetragonal

a = 9.149 Å, b = 9.149 Å, c = 3.487 Å
α = 90.00°, β = 90.00°, γ = 90.00°
Positions (direct):
1 Cs 0.000 0.000 0.000
2 Cs 0.500 0.500 0.000
3 Ag 0.885 0.385 0.000
4 Ag 0.615 0.885 0.000
5 Ag 0.115 0.615 0.000
6 Ag 0.385 0.115 0.000
7 Te 0.671 0.171 0.500
8 Te 0.829 0.671 0.500
9 Te 0.329 0.829 0.500
10 Te 0.171 0.329 0.500

=====

12.
The following is a PBE calculation of an optimized crystal structure of Na2Au2Br7, from the Alexandria database.

Formation energy (no corrections) ... -0.539 eV per atom
Energy above the most stable polymorph in this dataset ... 1.20 kcal/mol of atoms
Fermi-level density of states ... 4.88 states/eV/cell
Crystal system ... monoclinic

a = 5.399 Å, b = 8.797 Å, c = 8.797 Å
α = 115.50°, β = 98.62°, γ = 98.62°
Positions (direct):
1 Na 0.500 0.297 0.703
2 Na 0.500 0.703 0.297
3 Au 0.228 0.774 0.774
4 Au 0.772 0.226 0.226
5 Br 0.264 0.588 0.919
6 Br 0.736 0.081 0.412
7 Br 0.736 0.412 0.081
8 Br 0.264 0.919 0.588
9 Br 0.278 0.405 0.405
10 Br 0.000 0.000 0.000
11 Br 0.722 0.595 0.595

=====

13.
The following is a PBE calculation of an optimized crystal structure of Nd2GaNi12H3, from the Alexandria database.

Fermi-level density of states ... 12.95 states/eV/cell
Crystal system ... trigonal
Energy ... -5.1872 eV per atom

a = 6.995 Å, b = 6.995 Å, c = 6.995 Å
α = 55.76°, β = 55.76°, γ = 55.76°
Positions (direct):
1 Nd 0.600 0.600 0.600
2 Nd 0.400 0.400 0.400
3 Ga 0.000 0.000 0.000
4 Ni 0.279 0.279 0.905
5 Ni 0.866 0.866 0.451
6 Ni 0.451 0.866 0.866
7 Ni 0.905 0.279 0.279
8 Ni 0.866 0.451 0.866
9 Ni 0.279 0.905 0.279
10 Ni 0.721 0.721 0.095
11 Ni 0.134 0.134 0.549
12 Ni 0.549 0.134 0.134
13 Ni 0.095 0.721 0.721
14 Ni 0.134 0.549 0.134
15 Ni 0.721 0.095 0.721
16 H 0.500 0.000 0.000
17 H 0.000 0.500 0.000
18 H 0.000 0.000 0.500

=====

14.
The following is a PBE calculation of an optimized crystal structure of Sm4HgRuAu2, from the Alexandria database.

Energy relative to the elements ... -0.577 eV per atom
Fermi-level density of states ... 5.94 states/eV/cell
Crystal system ... trigonal

a = 5.199 Å, b = 5.199 Å, c = 8.872 Å
α = 72.96°, β = 72.96°, γ = 60.00°
Positions (direct):
1 Sm 0.384 0.384 0.848
2 Sm 0.868 0.868 0.397
3 Sm 0.132 0.132 0.603
4 Sm 0.616 0.616 0.152
5 Hg 0.000 0.000 0.000
6 Ru 0.500 0.500 0.500
7 Au 0.742 0.742 0.773
8 Au 0.258 0.258 0.227

=====

15.
The following is a PBE calculation of an optimized crystal structure of ZrCo2Ni, from the Alexandria database.

Energy relative to the elements ... -0.062 eV per atom
Fermi-level density of states ... 6.39 states/eV/cell
Crystal system ... cubic

a = 4.254 Å, b = 4.254 Å, c = 4.254 Å
α = 60.00°, β = 60.00°, γ = 60.00°
Positions (direct):
1 Co 0.000 0.000 0.000
2 Co 0.250 0.250 0.250
3 Ni 0.500 0.500 0.500
4 Zr 0.750 0.750 0.750

=====

16.
The following is a PBE calculation of an optimized crystal structure of Ba3SrMn, from the Alexandria database.

Energy relative to the elements ... 1.106 eV per atom
Energy above the most stable polymorph in this dataset ... 12.02 kcal/mol of atoms
Fermi-level density of states ... 10.21 states/eV/cell
Crystal system ... cubic

a = 6.768 Å, b = 6.768 Å, c = 6.768 Å
α = 90.00°, β = 90.00°, γ = 90.00°
Positions (direct):
1 Sr 0.000 0.000 0.000
2 Mn 0.500 0.500 0.500
3 Ba 0.000 0.500 0.000
4 Ba 0.000 0.000 0.500
5 Ba 0.500 0.000 0.000

=====

17.
The following is a PBE calculation of an optimized crystal structure of CdPt2W, from the Alexandria database.

Energy relative to the elements ... 0.303 eV per atom
Fermi-level density of states ... 4.83 states/eV/cell
Crystal system ... orthorhombic

a = 2.800 Å, b = 4.997 Å, c = 4.829 Å
α = 90.00°, β = 90.00°, γ = 90.00°
Positions (direct):
1 W 0.500 0.000 0.500
2 Pt 0.000 0.000 0.000
3 Pt 0.500 0.500 0.000
4 Cd 0.000 0.500 0.500

=====

18.
The following is a PBE calculation of an optimized crystal structure of BaPdI4, from the Alexandria database.

Formation energy (no corrections) ... -0.952 eV per atom
Energy above the most stable polymorph in this dataset ... 0.00 kcal/mol of atoms
Crystal system ... tetragonal

a = 7.194 Å, b = 7.194 Å, c = 7.194 Å
α = 112.08°, β = 112.08°, γ = 104.37°
Positions (direct):
1 Ba 0.750 0.250 0.500
2 Pd 0.500 0.500 0.000
3 I 0.267 0.269 0.534
4 I 0.735 0.733 0.466
5 I 0.267 0.733 0.002
6 I 0.731 0.265 0.998

=====

19.
The following is a PBE calculation of an optimized crystal structure of In4SnBr6, from the Alexandria database.

Formation energy (no corrections) ... -0.669 eV per atom
Crystal system ... tetragonal

a = 8.791 Å, b = 8.791 Å, c = 9.751 Å
α = 90.00°, β = 90.00°, γ = 90.00°
Positions (direct):
1 In 0.344 0.156 0.250
2 In 0.156 0.656 0.750
3 In 0.656 0.844 0.750
4 In 0.844 0.344 0.750
5 In 0.344 0.156 0.750
6 In 0.156 0.656 0.250
7 In 0.844 0.344 0.250
8 In 0.656 0.844 0.250
9 Sn 0.500 0.500 0.000
10 Sn 0.000 0.000 0.500
11 Br 0.308 0.854 0.500
12 Br 0.808 0.646 0.000
13 Br 0.646 0.192 0.000
14 Br 0.146 0.308 0.500
15 Br 0.000 0.000 0.199
16 Br 0.500 0.500 0.301
17 Br 0.354 0.808 0.000
18 Br 0.000 0.000 0.801
19 Br 0.192 0.354 0.000
20 Br 0.500 0.500 0.699
21 Br 0.854 0.692 0.500
22 Br 0.692 0.146 0.500

=====

20.
The following is a PBE calculation of an optimized crystal structure of ThCd2Pd6, from the Alexandria database.

Energy relative to the elements ... -0.372 eV per atom
Fermi-level density of states ... 2.89 states/eV/cell
Crystal system ... trigonal

a = 5.640 Å, b = 5.640 Å, c = 7.479 Å
α = 67.85°, β = 67.85°, γ = 60.00°
Positions (direct):
1 Th 0.334 0.334 0.999
2 Cd 0.762 0.762 0.715
3 Cd 0.567 0.567 0.300
4 Pd 0.782 0.273 0.672
5 Pd 0.273 0.782 0.672
6 Pd 0.273 0.273 0.672
7 Pd 0.054 0.567 0.324
8 Pd 0.054 0.054 0.324
9 Pd 0.567 0.054 0.324

=====

21.
The following is a PBE calculation of an optimized crystal structure of ZnIn2Pd, from the Alexandria database.

Energy relative to the elements ... -0.177 eV per atom
Fermi-level density of states ... 0.97 states/eV/cell
Crystal system ... tetragonal

a = 3.565 Å, b = 3.565 Å, c = 6.050 Å
α = 90.00°, β = 90.00°, γ = 90.00°
Positions (direct):
1 Zn 0.500 0.500 0.500
2 Pd 0.500 0.500 0.000
3 In 0.000 0.000 0.755
4 In 0.000 0.000 0.245